The following is a DFT calculation (PBE) of a geometry-optimized SiNi2As structure.

Output
Formation energy without anion corrections in eV/atom: -0.39
Symmetry: Pbca

Cell: 5.117 6.034 13.975 Å, 90.00 90.00 90.00°
Element x y z (fractional)
1 As 0.684 0.931 0.317
2 As 0.316 0.069 0.683
3 As 0.816 0.431 0.683
4 As 0.316 0.569 0.817
5 As 0.184 0.069 0.183
6 As 0.184 0.569 0.317
7 As 0.816 0.931 0.817
8 As 0.684 0.431 0.183
9 Si 0.180 0.069 0.943
10 Si 0.680 0.931 0.557
11 Si 0.320 0.069 0.443
12 Si 0.820 0.431 0.443
13 Si 0.320 0.569 0.057
14 Si 0.680 0.431 0.943
15 Si 0.180 0.569 0.557
16 Si 0.820 0.931 0.057
17 Ni 0.990 0.805 0.443
18 Ni 0.490 0.695 0.443
19 Ni 0.516 0.303 0.334
20 Ni 0.984 0.303 0.834
21 Ni 0.990 0.305 0.057
22 Ni 0.016 0.197 0.334
23 Ni 0.016 0.697 0.166
24 Ni 0.484 0.697 0.666
25 Ni 0.010 0.695 0.943
26 Ni 0.984 0.803 0.666
27 Ni 0.484 0.197 0.834
28 Ni 0.516 0.803 0.166
29 Ni 0.510 0.305 0.557
30 Ni 0.010 0.195 0.557
31 Ni 0.510 0.805 0.943
32 Ni 0.490 0.195 0.057